Record 1
A plane-wave DFT calculation with GGA-PBE was carried out for a relaxed DyThAgAu crystal.

Results
**Volume**: 100 Å³ per cell
**Total magnetization**: 0.00 Bohr magnetons per cell
**Formation energy**: -0.416 eV per atom

Structure (CIF):
```
data_DyThAgAu
_symmetry_space_group_name_H-M 'P 1'
_symmetry_Int_Tables_number 1
_symmetry_space_group_name_Hall 'P 1'
_cell_length_a 5.2070
_cell_length_b 5.2070
_cell_length_c 5.2070
_cell_angle_alpha 60.00
_cell_angle_beta 60.00
_cell_angle_gamma 60.00
loop_
_atom_site_label
_atom_site_type_symbol
_atom_site_fract_x
_atom_site_fract_y
_atom_site_fract_z
Dy1 Dy 0.0000 0.0000 0.0000
Th1 Th 0.5000 0.5000 0.5000
Ag1 Ag 0.7500 0.7500 0.7500
Au1 Au 0.2500 0.2500 0.2500
```

Record 2
A plane-wave DFT calculation with GGA-PBE was carried out for a relaxed DyTiAgAu crystal.

Results
**Volume**: 83 Å³ per cell
**Total magnetization**: 1.61 Bohr magnetons per cell
**Formation energy**: -0.273 eV per atom

Structure (CIF):
```
data_DyTiAgAu
_symmetry_space_group_name_H-M 'P 1'
_symmetry_Int_Tables_number 1
_symmetry_space_group_name_Hall 'P 1'
_cell_length_a 4.8947
_cell_length_b 4.8947
_cell_length_c 4.8947
_cell_angle_alpha 60.00
_cell_angle_beta 60.00
_cell_angle_gamma 60.00
loop_
_atom_site_label
_atom_site_type_symbol
_atom_site_fract_x
_atom_site_fract_y
_atom_site_fract_z
Dy1 Dy 0.0000 0.0000 0.0000
Ti1 Ti 0.5000 0.5000 0.5000
Ag1 Ag 0.7500 0.7500 0.7500
Au1 Au 0.2500 0.2500 0.2500
```

Record 3
A plane-wave DFT calculation with GGA-PBE was carried out for a relaxed DyTlAgAu crystal.

Results
**Volume**: 88 Å³ per cell
**Total magnetization**: 0.00 Bohr magnetons per cell
**Formation energy**: -0.395 eV per atom

Structure (CIF):
```
data_DyTlAgAu
_symmetry_space_group_name_H-M 'P 1'
_symmetry_Int_Tables_number 1
_symmetry_space_group_name_Hall 'P 1'
_cell_length_a 4.9896
_cell_length_b 4.9896
_cell_length_c 4.9896
_cell_angle_alpha 60.00
_cell_angle_beta 60.00
_cell_angle_gamma 60.00
loop_
_atom_site_label
_atom_site_type_symbol
_atom_site_fract_x
_atom_site_fract_y
_atom_site_fract_z
Dy1 Dy 0.0000 0.0000 0.0000
Tl1 Tl 0.5000 0.5000 0.5000
Ag1 Ag 0.2500 0.2500 0.2500
Au1 Au 0.7500 0.7500 0.7500
```

Record 4
A plane-wave DFT calculation with GGA-PBE was carried out for a relaxed Dy4TlAg2Au crystal.

Results
**Volume**: 197 Å³ per cell
**Total magnetization**: 0.00 Bohr magnetons per cell
**Formation energy**: -0.467 eV per atom

Structure (CIF):
```
data_Dy4TlAg2Au
_symmetry_space_group_name_H-M 'P 1'
_symmetry_Int_Tables_number 1
_symmetry_space_group_name_Hall 'P 1'
_cell_length_a 8.9818
_cell_length_b 8.9818
_cell_length_c 8.9818
_cell_angle_alpha 33.54
_cell_angle_beta 33.54
_cell_angle_gamma 33.54
loop_
_atom_site_label
_atom_site_type_symbol
_atom_site_fract_x
_atom_site_fract_y
_atom_site_fract_z
Dy1 Dy 0.1197 0.1197 0.1197
Dy2 Dy 0.3703 0.3703 0.3703
Dy3 Dy 0.6297 0.6297 0.6297
Dy4 Dy 0.8803 0.8803 0.8803
Tl1 Tl 0.5000 0.5000 0.5000
Ag1 Ag 0.2451 0.2451 0.2451
Ag2 Ag 0.7549 0.7549 0.7549
Au1 Au 0.0000 0.0000 0.0000
```